Material: Sb2MoCl
Method: DFT, PBE
State: relaxed

Calculated values
Energy above the lowest structure with this stoichiometry   35.6 kJ per mole of atoms
Crystal system   orthorhombic
Formation energy without anion corrections   0.356 eV/atom

```
data_Sb2MoCl
_symmetry_space_group_name_H-M 'I m m m'
_symmetry_Int_Tables_number 71
_symmetry_space_group_name_Hall '-I 2 2'
_cell_length_a 3.158
_cell_length_b 4.760
_cell_length_c 12.647
_cell_angle_alpha 90.00
_cell_angle_beta 90.00
_cell_angle_gamma 90.00
loop_
_atom_site_label
_atom_site_type_symbol
_atom_site_fract_x
_atom_site_fract_y
_atom_site_fract_z
_atom_site_occupancy
Sb1 Sb 0.000 0.000 0.181 1
Mo1 Mo 0.000 0.500 0.500 1
Cl1 Cl 0.000 0.500 0.000 1
```